The following is a DFT calculation (GGA-PBE) of a geometry-optimized Rb2TbScS4 structure.

a = 3.9912 Å, b = 6.9054 Å, c = 7.9881 Å
α = 106.73°, β = 90.00°, γ = 90.00°
Positions (direct):
S1 0.5000 0.7831 0.8148
S2 0.5000 0.2169 0.1852
S3 0.0000 0.7423 0.1901
S4 0.0000 0.2577 0.8099
Sc1 0.0000 0.0000 0.0000
Rb1 0.0000 0.5000 0.5000
Rb2 0.5000 0.0000 0.5000
Tb1 0.5000 0.5000 0.0000

Properties
As for the space-group type: P2/m, No. 10.

=====

The following is a DFT calculation (GGA-PBE) of a geometry-optimized Rb3Tb2ScS6 structure.

a = 6.9716 Å, b = 6.9716 Å, c = 8.0123 Å
α = 98.35°, β = 98.35°, γ = 120.00°
Positions (direct):
S1 0.3833 0.0630 0.1889
S2 0.7429 0.7429 0.1896
S3 0.6167 0.9370 0.8111
S4 0.9370 0.6167 0.8111
S5 0.0630 0.3833 0.1889
S6 0.2571 0.2571 0.8104
Sc1 0.0000 0.0000 0.0000
Rb1 0.1684 0.8316 0.5000
Rb2 0.8316 0.1684 0.5000
Rb3 0.5000 0.5000 0.5000
Tb1 0.3335 0.6665 0.0000
Tb2 0.6665 0.3335 0.0000

Properties
As for the space-group type: C2/m, No. 12.

=====

The following is a DFT calculation (GGA-PBE) of a geometry-optimized Rb2Sc2TeS6 structure.

a = 6.6523 Å, b = 6.6523 Å, c = 8.1497 Å
α = 97.75°, β = 97.75°, γ = 120.07°
Positions (direct):
Sc1 0.6668 0.3332 0.5000
Sc2 0.3332 0.6668 0.5000
S1 0.6013 0.9400 0.3187
S2 0.9400 0.6013 0.3187
S3 0.7205 0.7205 0.6822
S4 0.0600 0.3987 0.6813
S5 0.3987 0.0600 0.6813
S6 0.2795 0.2795 0.3178
Rb1 0.8341 0.1659 0.0000
Rb2 0.1659 0.8341 0.0000
Te1 0.0000 0.0000 0.5000

Properties
As for the space-group type: C2/m, No. 12.

=====

The following is a DFT calculation (GGA-PBE) of a geometry-optimized Rb2Sc2Te2S structure.

a = 4.9771 Å, b = 4.9771 Å, c = 9.8450 Å
α = 104.64°, β = 104.64°, γ = 90.00°
Last column: magnetic moment on the atom in μB.
Positions (direct):
Sc1 0.5000 0.0000 0.0000  0.40
Sc2 0.0000 0.5000 0.0000  0.40
Te1 0.3929 0.3929 0.7858  -0.01
Te2 0.6071 0.6071 0.2142  -0.01
Rb1 0.1788 0.1788 0.3577  0.01
Rb2 0.8212 0.8212 0.6423  0.01
S1 0.0000 0.0000 0.0000  -0.02

Properties
As for the space-group type: I4/mmm, No. 139.

=====

Let's list energy relative to the elements, uncorrected in order: -1.77; -1.80; -1.27; -1.20 eV per atom.